(1)
Compound: B7C5
Source: the Alexandria database
Functional: PBE
Structure: optimized geometry

Unit cell a=4.9853 b=2.5317 c=6.6738 alpha=90.00 beta=100.78 gamma=90.00
With the nearest neighbours (Å) after each atom.
Fractional positions:
B1 0.0000 0.0000 0.0000  3 B 1.71-1.83
B2 0.0223 0.0000 0.7478  2 C 1.66, 2 B 1.71-1.80
B3 0.3587 0.0000 0.3758  2 C 1.68, 2 B 1.80-1.82
B4 0.4001 0.0000 0.1141  2 C 1.60
B5 0.6547 0.0000 0.7015  2 C 1.67, 2 B 1.80-1.82
B6 0.7296 0.0000 0.4448  2 C 1.64, 2 B 1.82
B7 0.8273 0.5000 0.1269  2 C 1.55-1.60
C1 0.1793 0.5000 0.4529  2 C 1.47-1.49
C2 0.1997 0.5000 0.6777  2 C 1.48-1.49
C3 0.4871 0.5000 0.7865  2 C 1.48
C4 0.5168 0.5000 0.0109  1 C 1.48, 3 B 1.60
C5 0.8870 0.5000 0.3627  1 C 1.47, 3 B 1.55-1.64

Results
Symmetry = Pm (6)

***

(2)
Compound: B3C
Source: the Alexandria database
Functional: PBE
Structure: optimized geometry

Unit cell a=4.5479 b=4.5479 c=4.8476 alpha=92.14 beta=92.14 gamma=35.87
With the nearest neighbours (Å) after each atom.
Fractional positions:
B1 0.0038 0.0038 0.1894  2 C 1.63
B2 0.1893 0.1893 0.9901  3 B 1.63-1.75
B3 0.3058 0.3058 0.7351  1 C 1.53, 1 B 1.63
B4 0.6942 0.6942 0.2649  1 C 1.53, 1 B 1.63
B5 0.8107 0.8107 0.0099  3 B 1.63-1.75
B6 0.9962 0.9962 0.8106  2 C 1.63
C1 0.4733 0.4733 0.6427  1 C 1.48, 3 B 1.53-1.63
C2 0.5267 0.5267 0.3573  1 C 1.48, 3 B 1.53-1.63

Results
Symmetry = C2/m (12)

***

(3)
Compound: B7C5
Source: the Alexandria database
Functional: PBE
Structure: optimized geometry

Unit cell a=4.7189 b=2.5604 c=7.1198 alpha=90.00 beta=90.84 gamma=90.00
With the nearest neighbours (Å) after each atom.
Fractional positions:
B1 0.0000 0.0000 0.0000  2 C 1.57, 1 B 1.71
B2 0.0299 0.0000 0.7612  1 C 1.70, 3 B 1.71-1.79
B3 0.1921 0.5000 0.6245  1 C 1.57
B4 0.4386 0.0000 0.1221  1 C 1.53
B5 0.6223 0.5000 0.9933  1 C 1.67, 3 B 1.71-1.80
B6 0.6634 0.5000 0.7545  2 C 1.55, 1 B 1.71
B7 0.7212 0.0000 0.4154  4 C 1.58-1.73
C1 0.2324 0.5000 0.4060  3 C 1.56-1.57, 1 B 1.57
C2 0.3851 0.0000 0.3341  2 B 1.53-1.68, 2 C 1.56
C3 0.7197 0.0000 0.6370  4 B 1.55-1.70
C4 0.9221 0.5000 0.3216  2 C 1.46-1.57
C5 0.9273 0.5000 0.1165  1 C 1.46, 2 B 1.57

Results
Symmetry = Pm (6)

***

Number 1: size of the total moment 0.00 Bohr magnetons per cell, formation enthalpy at 0 K 0.4013 eV/atom, calculated total energy -7.337 eV per atom. Number 2: size of the total moment 0.00 Bohr magnetons per cell, formation enthalpy at 0 K 0.3482 eV/atom, calculated total energy -6.966 eV per atom. Number 3: size of the total moment 0.00 Bohr magnetons per cell, formation enthalpy at 0 K 0.4721 eV/atom, calculated total energy -7.266 eV per atom.